1.
# ScBi (GGA-PBE, relaxed)
data_ScBi
_space_group_name_H-M_alt 'F -4 3 m'
_space_group_IT_number 216
_space_group_name_Hall 'F -4 2 3'
_cell_length_a 6.741
_cell_length_b 6.741
_cell_length_c 6.741
_cell_angle_alpha 90.00
_cell_angle_beta 90.00
_cell_angle_gamma 90.00
loop_
_atom_site_label
_atom_site_type_symbol
_atom_site_fract_x
_atom_site_fract_y
_atom_site_fract_z
Sc1 Sc 0.000 0.000 0.000
Bi1 Bi 0.250 0.250 0.750
# - ΔE_f: -0.20 eV/atom
# - Calculated volume: 38.29 Å³/atom


2.
# CsNaI2N (GGA-PBE, relaxed)
data_CsNaI2N
_space_group_name_H-M_alt 'P 4/m m m'
_space_group_IT_number 123
_space_group_name_Hall '-P 4 2'
_cell_length_a 6.277
_cell_length_b 6.277
_cell_length_c 5.134
_cell_angle_alpha 90.00
_cell_angle_beta 90.00
_cell_angle_gamma 90.00
loop_
_atom_site_label
_atom_site_type_symbol
_atom_site_fract_x
_atom_site_fract_y
_atom_site_fract_z
Cs1 Cs 0.000 0.000 0.000
Na1 Na 0.500 0.500 0.500
I1 I 0.000 0.500 0.500
N1 N 0.500 0.500 0.000
# - E above lowest polymorph: 0 meV/atom
# - Formation energy from raw total energies: -0.079 eV/atom
# - Calculated volume: 40.45 Å³/atom


3.
# B2PIrPt (GGA-PBE, relaxed)
data_B2PIrPt
_space_group_name_H-M_alt 'P 4/m m m'
_space_group_IT_number 123
_space_group_name_Hall '-P 4 2'
_cell_length_a 3.852
_cell_length_b 3.852
_cell_length_c 4.577
_cell_angle_alpha 90.00
_cell_angle_beta 90.00
_cell_angle_gamma 90.00
loop_
_atom_site_label
_atom_site_type_symbol
_atom_site_fract_x
_atom_site_fract_y
_atom_site_fract_z
B1 B 0.000 0.500 0.000
P1 P 0.000 0.000 0.000
Ir1 Ir 0.000 0.000 0.500
Pt1 Pt 0.500 0.500 0.500
# - ΔE_f: 1.20 eV/atom
# - Calculated volume: 13.58 Å³/atom


4.
# KCd6Pb12 (GGA-PBE, relaxed)
data_KCd6Pb12
_space_group_name_H-M_alt 'R -3'
_space_group_IT_number 148
_space_group_name_Hall '-R 3'
_cell_length_a 15.1731
_cell_length_b 15.1731
_cell_length_c 8.4425
_cell_angle_alpha 90.00
_cell_angle_beta 90.00
_cell_angle_gamma 120.00
loop_
_atom_site_label
_atom_site_type_symbol
_atom_site_fract_x
_atom_site_fract_y
_atom_site_fract_z
K1 K 0.0000 0.0000 0.0000
Cd1 Cd 0.0324 0.7527 0.3276
Pb1 Pb 0.0108 0.8644 0.6564
Pb2 Pb 0.0613 0.5021 0.6720
# - ΔE_f: 0.02 eV/atom
# - Calculated volume: 29.53 Å³/atom